A.
Density functional theory data (GGA-PBE) for crystalline TcIr2Cl at its relaxed geometry.

Cell: 2.816 2.816 7.811 Å, 90.00 90.00 90.00°
Sites, in units of the cell vectors:
Cl: 0.500 0.500 0.750
Ir: 0.000 0.000 0.021
Ir: 0.000 0.000 0.479
Tc: 0.500 0.500 0.250

***

B.
Density functional theory data (GGA-PBE) for crystalline TcIr2Cl at its relaxed geometry.

Cell: 4.871 4.871 2.747 Å, 90.00 90.00 112.05°
Sites, in units of the cell vectors:
Cl: 0.000 0.500 0.500
Ir: 0.000 0.000 0.000
Ir: 0.500 0.500 0.000
Tc: 0.500 0.000 0.500

***

Relative stability in meV per atom, measured from the most stable structure: A 0; B 551

***

A.
Density functional theory data (GGA-PBE) for crystalline TcIr2Cl at its relaxed geometry.

Cell: 8.916 8.916 8.916 Å, 18.26 18.26 18.26°
Sites, in units of the cell vectors:
Cl: 0.750 0.750 0.750
Ir: 0.996 0.996 0.996
Ir: 0.504 0.504 0.504
Tc: 0.250 0.250 0.250

***

B.
Density functional theory data (GGA-PBE) for crystalline TcIr2Cl at its relaxed geometry.

Cell: 5.314 5.314 5.314 Å, 149.47 127.04 62.37°
Sites, in units of the cell vectors:
Cl: 0.266 0.766 0.500
Ir: 0.007 0.007 0.000
Ir: 0.739 0.239 0.500
Tc: 0.487 0.487 0.000

***

Relative stability in meV per atom, measured from the most stable structure: A 0; B 499

***

A.
Density functional theory data (GGA-PBE) for crystalline TcIr2Cl at its relaxed geometry.

Cell: 4.706 4.706 4.706 Å, 129.46 129.46 74.28°
Sites, in units of the cell vectors:
Cl: 0.750 0.250 0.500
Ir: 0.000 0.000 0.000
Ir: 0.500 0.500 0.000
Tc: 0.250 0.750 0.500

***

B.
Density functional theory data (GGA-PBE) for crystalline TcIr2Cl at its relaxed geometry.

Cell: 5.069 5.069 4.417 Å, 89.34 89.34 32.15°
Sites, in units of the cell vectors:
Cl: 0.750 0.750 0.750
Ir: 0.972 0.972 0.009
Ir: 0.528 0.528 0.491
Tc: 0.250 0.250 0.250

***

Relative stability in meV per atom, measured from the most stable structure: A 381; B 0

***

A.
Density functional theory data (GGA-PBE) for crystalline TcIr2Cl at its relaxed geometry.

Cell: 3.672 2.796 6.490 Å, 89.98 90.00 90.00°
Sites, in units of the cell vectors:
Cl: 0.500 0.749 0.736
Ir: 0.000 0.750 0.051
Ir: 0.500 0.250 0.259
Tc: 0.000 0.750 0.454

***

B.
Density functional theory data (GGA-PBE) for crystalline TcIr2Cl at its relaxed geometry.

Cell: 4.432 4.432 4.432 Å, 60.00 60.00 60.00°
Sites, in units of the cell vectors:
Ir: 0.250 0.250 0.250
Ir: 0.750 0.750 0.750
Tc: 0.500 0.500 0.500
Cl: 0.000 0.000 0.000

***

Relative stability in meV per atom, measured from the most stable structure: A 0; B 674

***

A.
Density functional theory data (GGA-PBE) for crystalline TcIr2Cl at its relaxed geometry.

Cell: 2.809 3.555 6.752 Å, 90.00 90.00 90.00°
Sites, in units of the cell vectors:
Cl: 0.500 0.500 0.750
Ir: 0.000 0.000 0.050
Ir: 0.000 0.000 0.450
Tc: 0.500 0.500 0.250

***

B.
Density functional theory data (GGA-PBE) for crystalline TcIr2Cl at its relaxed geometry.

Cell: 2.783 3.594 6.817 Å, 90.00 90.00 90.00°
Sites, in units of the cell vectors:
Cl: 0.500 0.500 0.720
Ir: 0.000 0.000 0.062
Ir: 0.500 0.500 0.263
Tc: 0.000 0.000 0.455

***

Relative stability in meV per atom, measured from the most stable structure: A 45; B 0

***

A.
Density functional theory data (GGA-PBE) for crystalline TcIr2Cl at its relaxed geometry.

Cell: 5.961 5.961 5.961 Å, 153.47 137.21 51.05°
Sites, in units of the cell vectors:
Cl: 0.250 0.750 0.500
Ir: 0.967 0.967 0.000
Ir: 0.533 0.533 0.000
Tc: 0.750 0.250 0.500

***

B.
Density functional theory data (GGA-PBE) for crystalline TcIr2Cl at its relaxed geometry.

Cell: 6.154 6.154 6.162 Å, 60.04 60.04 90.00°
Sites, in units of the cell vectors:
Ir: 0.643 0.125 0.250
Ir: 0.107 0.625 0.250
Ir: 0.375 0.357 0.750
Ir: 0.875 0.893 0.750
Tc: 0.000 0.000 0.000
Tc: 0.750 0.250 0.500
Cl: 0.500 0.500 0.000
Cl: 0.250 0.750 0.500

***

Relative stability in meV per atom, measured from the most stable structure: A 0; B 369

***

A.
Density functional theory data (GGA-PBE) for crystalline TcIr2Cl at its relaxed geometry.

Cell: 4.729 4.729 2.745 Å, 90.00 90.00 90.00°
Sites, in units of the cell vectors:
Cl: 0.000 0.500 0.500
Ir: 0.000 0.000 0.000
Ir: 0.500 0.500 0.000
Tc: 0.500 0.000 0.500

***

B.
Density functional theory data (GGA-PBE) for crystalline TcIr2Cl at its relaxed geometry.

Cell: 2.768 4.643 4.741 Å, 90.00 90.00 90.00°
Sites, in units of the cell vectors:
Cl: 0.000 0.500 0.500
Ir: 0.000 0.000 0.000
Ir: 0.500 0.500 0.000
Tc: 0.500 0.000 0.500

***

C.
Density functional theory data (GGA-PBE) for crystalline TcIr2Cl at its relaxed geometry.

Cell: 2.814 2.814 9.439 Å, 90.00 90.00 121.45°
Sites, in units of the cell vectors:
Cl: 0.500 0.500 0.717
Ir: 0.000 0.000 0.018
Ir: 0.500 0.500 0.260
Tc: 0.000 0.000 0.505

***

D.
Density functional theory data (GGA-PBE) for crystalline TcIr2Cl at its relaxed geometry.

Cell: 4.709 3.660 3.660 Å, 90.00 90.00 90.00°
Sites, in units of the cell vectors:
Cl: 0.500 0.000 0.500
Ir: 0.000 0.000 0.000
Ir: 0.000 0.500 0.500
Tc: 0.500 0.500 0.000

***

Relative stability in meV per atom, measured from the most stable structure: A 405; B 244; C 0; D 617

***

A.
Density functional theory data (GGA-PBE) for crystalline TcIrCl2 at its relaxed geometry.

Cell: 8.453 8.453 8.453 Å, 20.28 20.28 20.28°
Sites, in units of the cell vectors:
Ir: 0.000 0.000 0.000
Tc: 0.500 0.500 0.500
Cl: 0.907 0.907 0.907
Cl: 0.093 0.093 0.093

***

B.
Density functional theory data (GGA-PBE) for crystalline TcIrCl2 at its relaxed geometry.

Cell: 2.997 2.997 8.671 Å, 90.00 90.00 123.57°
Sites, in units of the cell vectors:
Ir: 0.500 0.500 0.250
Tc: 0.500 0.500 0.750
Cl: 0.000 0.000 0.976
Cl: 0.000 0.000 0.524

***

C.
Density functional theory data (GGA-PBE) for crystalline TcIrCl2 at its relaxed geometry.

Cell: 8.929 8.929 8.929 Å, 157.98 161.01 29.24°
Sites, in units of the cell vectors:
Ir: 0.418 0.418 0.000
Tc: 0.326 0.826 0.500
Cl: 0.019 0.019 0.000
Cl: 0.737 0.237 0.500

***

D.
Density functional theory data (GGA-PBE) for crystalline TcIrCl2 at its relaxed geometry.

Cell: 3.597 3.597 8.674 Å, 92.56 92.56 60.01°
Sites, in units of the cell vectors:
Ir: 0.629 0.629 0.427
Tc: 0.285 0.285 0.288
Cl: 0.938 0.938 0.100
Cl: 0.648 0.648 0.685

***

Relative stability in meV per atom, measured from the most stable structure: A 571; B 811; C 434; D 0

***

A.
Density functional theory data (GGA-PBE) for crystalline TcIrCl2 at its relaxed geometry.

Cell: 4.399 4.399 4.399 Å, 119.73 119.73 90.46°
Sites, in units of the cell vectors:
Ir: 0.250 0.750 0.500
Tc: 0.750 0.250 0.500
Cl: 0.000 0.000 0.000
Cl: 0.500 0.500 0.000

***

B.
Density functional theory data (GGA-PBE) for crystalline TcIrCl2 at its relaxed geometry.

Cell: 6.611 6.611 4.691 Å, 83.87 83.87 25.84°
Sites, in units of the cell vectors:
Ir: 0.750 0.750 0.750
Tc: 0.250 0.250 0.250
Cl: 0.886 0.886 0.037
Cl: 0.614 0.614 0.463

***

C.
Density functional theory data (GGA-PBE) for crystalline TcIrCl2 at its relaxed geometry.

Cell: 4.527 4.527 4.527 Å, 119.99 119.99 90.02°
Sites, in units of the cell vectors:
Ir: 0.500 0.500 0.000
Tc: 0.750 0.250 0.500
Cl: 0.000 0.000 0.000
Cl: 0.250 0.750 0.500

***

Relative stability in meV per atom, measured from the most stable structure: A 920; B 0; C 642

***

A.
Density functional theory data (GGA-PBE) for crystalline TcIrCl2 at its relaxed geometry.

Cell: 3.116 2.972 8.821 Å, 89.78 90.00 90.00°
Sites, in units of the cell vectors:
Ir: 0.000 0.376 0.543
Tc: 0.500 0.874 0.709
Cl: 0.000 0.872 0.919
Cl: 0.500 0.378 0.329

***

B.
Density functional theory data (GGA-PBE) for crystalline TcIrCl2 at its relaxed geometry.

Cell: 3.047 3.047 6.521 Å, 90.00 90.00 90.00°
Sites, in units of the cell vectors:
Ir: 0.500 0.500 0.250
Tc: 0.500 0.500 0.750
Cl: 0.000 0.000 0.979
Cl: 0.000 0.000 0.521

***

C.
Density functional theory data (GGA-PBE) for crystalline TcIrCl2 at its relaxed geometry.

Cell: 2.874 2.874 8.925 Å, 90.00 90.00 90.00°
Sites, in units of the cell vectors:
Ir: 0.500 0.500 0.250
Tc: 0.500 0.500 0.750
Cl: 0.000 0.000 0.923
Cl: 0.000 0.000 0.577

***

Relative stability in meV per atom, measured from the most stable structure: A 0; B 1217; C 1148

***

A.
Density functional theory data (GGA-PBE) for crystalline TcIrCl2 at its relaxed geometry.

Cell: 3.009 3.009 9.898 Å, 90.00 90.00 123.59°
Sites, in units of the cell vectors:
Ir: 0.000 0.000 0.516
Tc: 0.500 0.500 0.740
Cl: 0.000 0.000 0.937
Cl: 0.500 0.500 0.306

***

B.
Density functional theory data (GGA-PBE) for crystalline TcIrCl2 at its relaxed geometry.

Cell: 2.963 2.963 8.725 Å, 90.00 90.00 90.00°
Sites, in units of the cell vectors:
Ir: 0.000 0.000 0.540
Tc: 0.500 0.500 0.716
Cl: 0.000 0.000 0.912
Cl: 0.500 0.500 0.332

***

C.
Density functional theory data (GGA-PBE) for crystalline TcIrCl2 at its relaxed geometry.

Cell: 4.148 4.148 8.248 Å, 75.44 75.44 90.00°
Sites, in units of the cell vectors:
Ir: 0.000 0.000 0.000
Ir: 0.750 0.250 0.500
Tc: 0.500 0.500 0.000
Tc: 0.250 0.750 0.500
Cl: 0.618 0.125 0.250
Cl: 0.132 0.625 0.250
Cl: 0.375 0.382 0.750
Cl: 0.875 0.868 0.750

***

Relative stability in meV per atom, measured from the most stable structure: A 298; B 0; C 712